No. 1
Below is a relaxed structure of ReNi2W, with properties calculated at the PBE-GGA level.

Values from the calculation:
Energy of formation from the pure elements: 0.6436 eV/atom
Space-group type: No. 122
DOS(E_F): 7.2 states/eV per cell

a b c (Å): 5.360 5.360 5.360
angles (deg): 103.15 103.15 123.03
Element x y z (fractional)
Re (0.000, 0.000, 0.000)
Re (0.750, 0.250, 0.500)
Ni (0.123, 0.625, 0.998)
Ni (0.375, 0.373, 0.498)
Ni (0.627, 0.125, 0.002)
Ni (0.875, 0.877, 0.502)
W (0.250, 0.750, 0.500)
W (0.500, 0.500, 0.000)

No. 2
Below is a relaxed structure of Fe3CoNi, with properties calculated at the PBE-GGA level.

Values from the calculation:
Energy of formation from the pure elements: 0.0599 eV/atom
Space-group type: No. 14
DOS(E_F): 17.2 states/eV per cell
Polymorph energy (0 for the lowest one): 0 meV/atom

a b c (Å): 6.370 8.725 4.501
angles (deg): 90.00 110.46 90.00
Element x y z (fractional)
Fe (0.018, 0.145, 0.014)
Fe (0.018, 0.355, 0.514)
Fe (0.165, 0.070, 0.587)
Fe (0.165, 0.430, 0.087)
Fe (0.385, 0.524, 0.693)
Fe (0.385, 0.976, 0.193)
Fe (0.615, 0.024, 0.807)
Fe (0.615, 0.476, 0.307)
Fe (0.835, 0.570, 0.913)
Fe (0.835, 0.930, 0.413)
Fe (0.982, 0.645, 0.486)
Fe (0.982, 0.855, 0.986)
Co (0.273, 0.680, 0.136)
Co (0.273, 0.820, 0.636)
Co (0.727, 0.180, 0.364)
Co (0.727, 0.320, 0.864)
Ni (0.389, 0.250, 0.447)
Ni (0.389, 0.250, 0.947)
Ni (0.611, 0.750, 0.053)
Ni (0.611, 0.750, 0.553)

No. 3
Below is a relaxed structure of AcSiSnRh3, with properties calculated at the PBE-GGA level.

Values from the calculation:
Formation energy (no corrections): -0.690 eV per atom
Space-group type: No. 63
DOS(E_F): 2.1 states/eV per cell

a b c (Å): 8.145 8.145 5.904
angles (deg): 90.00 90.00 137.05
Element x y z (fractional)
Ac (0.243, 0.757, 0.750)
Ac (0.757, 0.243, 0.250)
Si (0.076, 0.924, 0.250)
Si (0.924, 0.076, 0.750)
Sn (0.402, 0.598, 0.250)
Sn (0.598, 0.402, 0.750)
Rh (0.231, 0.769, 0.250)
Rh (0.238, 0.238, 0.000)
Rh (0.238, 0.238, 0.500)
Rh (0.762, 0.762, 0.000)
Rh (0.762, 0.762, 0.500)
Rh (0.769, 0.231, 0.750)

No. 4
Below is a relaxed structure of Pm4Pt3Pb, with properties calculated at the PBE-GGA level.

Values from the calculation:
Energy of formation from the pure elements: -0.9708 eV/atom
Space-group type: No. 25
DOS(E_F): 5.1 states/eV per cell

a b c (Å): 4.058 4.544 11.132
angles (deg): 90.00 90.00 90.00
Element x y z (fractional)
Pm (0.000, 0.000, 0.000)
Pm (0.000, 0.500, 0.259)
Pm (0.500, 0.000, 0.469)
Pm (0.500, 0.500, 0.771)
Pt (0.000, 0.500, 0.524)
Pt (0.500, 0.000, 0.206)
Pt (0.500, 0.500, 0.037)
Pb (0.000, 0.000, 0.703)

no.,total magnetization (Bohr magnetons per cell),theoretical density (kg/m3)
1,0.00,14265
2,40.80,8081
3,0.00,8492
4,0.00,11103